Record 1
## Cs2RbSbPt (PBE)

Data for a geometry-optimized Cs2RbSbPt structure.

Geometry as POSCAR:
```
Cs2RbSbPt
1.0
-5.6680 -4.0854 0.4285
3.7745 -5.4678 -2.2038
1.1831 -1.1338 4.8394
Cs Sb Rb Pt
2 1 1 1
Direct
0.0000 0.5000 0.0000
0.5000 0.0000 0.0000
0.0000 0.0000 0.5000
0.5000 0.5000 0.5000
0.0000 0.0000 0.0000
```

Properties
E: -2.74 eV per atom
Total moment: 0.33 μB/f.u.

Record 2
## TeP2SCl (PBE)

Data for a geometry-optimized TeP2SCl structure.

Geometry as POSCAR:
```
TeP2SCl
1.0
-4.6071 2.3195 -0.7850
-1.2800 -3.7070 -3.4411
-2.0045 -2.7327 3.6894
P S Te Cl
2 1 1 1
Direct
0.0000 0.5000 0.0000
0.5000 0.0000 0.0000
0.5000 0.5000 0.5000
0.0000 0.0000 0.0000
0.0000 0.0000 0.5000
```

Properties
Distance to the lowest polymorph of the same formula: 0.492 eV/atom
Total moment: 0.80 μB/f.u.

Record 3
## SiPtSeN2 (PBE)

Data for a geometry-optimized SiPtSeN2 structure.

Geometry as POSCAR:
```
SiPtSeN2
1.0
3.7347 0.0000 0.0000
0.0000 3.7347 0.0000
0.0000 0.0000 8.7711
Si Se Pt N
1 1 1 2
Direct
0.5000 0.5000 0.5000
0.0000 0.0000 0.5000
0.0000 0.0000 0.0000
0.0000 0.5000 0.0000
0.5000 0.0000 0.0000
```

Properties
Distance to the lowest polymorph of the same formula: 0.574 eV/atom
Total moment: 0.00 μB/f.u.

Record 4
## Ce5YIr4 (PBE)

Data for a geometry-optimized Ce5YIr4 structure.

Geometry as POSCAR:
```
Ce5YIr4
1.0
4.1615 0.0000 0.0000
0.0000 7.6867 -0.8480
-2.0807 -1.9772 8.5658
Ce Y Ir
5 1 4
Direct
0.8284 0.6258 0.6567
0.8372 0.1214 0.6743
0.1628 0.8786 0.3257
0.5000 0.5000 0.0000
0.1716 0.3742 0.3433
0.5000 0.0000 0.0000
0.3155 0.8537 0.6311
0.9966 0.7314 0.9931
0.6845 0.1463 0.3689
0.0034 0.2686 0.0069
```

Properties
E: -7.73 eV per atom
Total moment: 3.31 μB/f.u.

Record 5
## CoIrOs2 (PBE)

Data for a geometry-optimized CoIrOs2 structure.

Geometry as POSCAR:
```
CoIrOs2
1.0
1.2140 -1.2931 3.9114
0.3227 2.8473 3.1990
-2.8407 -0.0574 3.2206
Co Ir Os
1 1 2
Direct
0.0000 0.0000 0.0000
0.5000 0.5000 0.5000
0.2500 0.2500 0.2500
0.7500 0.7500 0.7500
```

Properties
Distance to the lowest polymorph of the same formula: 0.515 eV/atom
Total moment: 2.56 μB/f.u.

Record 6
## ZnTePb (PBE)

Data for a geometry-optimized ZnTePb structure.

Geometry as POSCAR:
```
ZnTePb
1.0
-1.7247 -0.4948 3.8092
-1.4144 -2.2574 -3.2608
3.6356 -3.9201 1.1369
Pb Te Zn
1 1 1
Direct
0.0000 0.0000 0.9746
0.6667 0.3333 0.3866
0.3333 0.6667 0.6388
```

Properties
Distance to the lowest polymorph of the same formula: 0.000 eV/atom
Total moment: 0.00 μB/f.u.

What did the fifth record say?
## CoIrOs2 (PBE)

Data for a geometry-optimized CoIrOs2 structure.

Geometry as POSCAR:
```
CoIrOs2
1.0
1.2140 -1.2931 3.9114
0.3227 2.8473 3.1990
-2.8407 -0.0574 3.2206
Co Ir Os
1 1 2
Direct
0.0000 0.0000 0.0000
0.5000 0.5000 0.5000
0.2500 0.2500 0.2500
0.7500 0.7500 0.7500
```

Properties
Distance to the lowest polymorph of the same formula: 0.515 eV/atom
Total moment: 2.56 μB/f.u.

Repeat the third record exactly.
## SiPtSeN2 (PBE)

Data for a geometry-optimized SiPtSeN2 structure.

Geometry as POSCAR:
```
SiPtSeN2
1.0
3.7347 0.0000 0.0000
0.0000 3.7347 0.0000
0.0000 0.0000 8.7711
Si Se Pt N
1 1 1 2
Direct
0.5000 0.5000 0.5000
0.0000 0.0000 0.5000
0.0000 0.0000 0.0000
0.0000 0.5000 0.0000
0.5000 0.0000 0.0000
```

Properties
Distance to the lowest polymorph of the same formula: 0.574 eV/atom
Total moment: 0.00 μB/f.u.

Question: Which value of total moment does entry 3 give?
Answer: 0.00 μB/f.u.

Question: Look up the total moment of the second one.
Answer: 0.80 μB/f.u.